1.
Density functional theory data (PBE-GGA) for crystalline CsCaLa3 at its relaxed geometry.

a = 6.282 Å, b = 6.282 Å, c = 6.282 Å
α = 90.00°, β = 90.00°, γ = 90.00°
Fractional positions:
1 Cs 0.000 0.000 0.000
2 Ca 0.500 0.500 0.500
3 La 0.000 0.500 0.500
4 La 0.500 0.000 0.500
5 La 0.500 0.500 0.000

Values from the calculation:
Final energy, eV per cell: -13.78
ΔE_f, eV/atom: 0.7719
Total moment, μB per formula unit: 0.0

***

2.
Density functional theory data (PBE-GGA) for crystalline CsCa2La2 at its relaxed geometry.

a = 11.069 Å, b = 11.069 Å, c = 3.936 Å
α = 90.00°, β = 90.00°, γ = 90.00°
Fractional positions:
1 Cs 0.000 0.000 0.000
2 Cs 0.500 0.500 0.000
3 Ca 0.180 0.320 0.500
4 Ca 0.320 0.820 0.500
5 Ca 0.680 0.180 0.500
6 Ca 0.820 0.680 0.500
7 La 0.100 0.600 0.000
8 La 0.400 0.100 0.000
9 La 0.600 0.900 0.000
10 La 0.900 0.400 0.000

Values from the calculation:
Final energy, eV per cell: -26.49
ΔE_f, eV/atom: 0.2933
Total moment, μB per formula unit: 1.0

***

3.
Density functional theory data (PBE-GGA) for crystalline CsCaLa3 at its relaxed geometry.

a = 6.034 Å, b = 6.034 Å, c = 6.034 Å
α = 90.00°, β = 90.00°, γ = 90.00°
Fractional positions:
1 Cs 0.000 0.000 0.000
2 Ca 0.500 0.500 0.500
3 La 0.000 0.000 0.500
4 La 0.000 0.500 0.000
5 La 0.500 0.000 0.000

Values from the calculation:
Final energy, eV per cell: -13.79
ΔE_f, eV/atom: 0.7701
Total moment, μB per formula unit: 0.0

***

4.
Density functional theory data (PBE-GGA) for crystalline CsCa2LaPd at its relaxed geometry.

a = 6.043 Å, b = 6.043 Å, c = 5.650 Å
α = 90.00°, β = 90.00°, γ = 90.00°
Fractional positions:
1 Cs 0.000 0.000 0.000
2 Ca 0.000 0.500 0.500
3 Ca 0.500 0.000 0.500
4 La 0.500 0.500 0.000
5 Pd 0.500 0.500 0.500

Values from the calculation:
Final energy, eV per cell: -15.69
ΔE_f, eV/atom: -0.1428
Total moment, μB per formula unit: 0.0